Entry 1:
Computed, not measured: a geometry-optimized Sc13Al2 structure at the PBE-GGA level of DFT.

Its energy relative to the elements is -0.050 eV/atom. The spin magnetization is 0.0 μB/f.u. The calculation puts the electronic total energy at -6.04 eV/atom.

It has space group P-1 (No. 2), with a = 6.0903 Å, b = 7.8680 Å, c = 8.3799 Å, α = 63.28°, β = 89.04° and γ = 79.67°. The inequivalent atoms are Sc at (0.0000, 0.0000, 0.0000), Sc at (0.0386, 0.5009, 0.7135), Sc at (0.2427, 0.0044, 0.5705), Sc at (0.2564, 0.2075, 0.1535), Sc at (0.2770, 0.6510, 0.9635), Sc at (0.4368, 0.1700, 0.8149), Sc at (0.4678, 0.4017, 0.3778) and Al at (0.1550, 0.7768, 0.3627).



Entry 2:
Computed, not measured: a geometry-optimized ZnOsSe2 structure at the PBE-GGA level of DFT.

The spin magnetization is 0.0 μB/f.u. The calculation puts the electronic total energy at -4.73 eV/atom. The energy relative to the elements, uncorrected comes out at 0.142 eV/atom.

It has space group Immm (No. 71), with a = 3.0937 Å, b = 4.3089 Å, c = 11.6145 Å, α = 90.00°, β = 90.00° and γ = 90.00°. The inequivalent atoms are Zn at (0.0000, 0.0000, 0.0000), Os at (0.0000, 0.0000, 0.5000) and Se at (0.0000, 0.5000, 0.1713).



Entry 3:
Computed, not measured: a geometry-optimized Ce3Al5Au6 structure at the PBE-GGA level of DFT.

Its energy relative to the elements is -0.636 eV/atom. The spin magnetization is 2.0 μB/f.u. The calculation puts the electronic total energy at -4.65 eV/atom.

It has space group Pmmn (No. 59, origin choice 2), with a = 4.4681 Å, b = 13.5162 Å, c = 9.4312 Å, α = 90.00°, β = 90.00° and γ = 90.00°. The inequivalent atoms are Ce at (0.2500, 0.0533, 0.2448), Ce at (0.2500, 0.7500, 0.2610), Al at (0.2500, 0.0818, 0.6039), Al at (0.2500, 0.6116, 0.9777), Al at (0.2500, 0.7500, 0.7455), Au at (0.2500, 0.0879, 0.8762), Au at (0.2500, 0.2500, 0.0777), Au at (0.2500, 0.2500, 0.4551) and Au at (0.2500, 0.6094, 0.5343).